Record 1
Density functional theory data (GGA-PBE) for a relaxed Be2AgAs crystal.

DFT total energy in eV per formula unit: -13.57
Space group: Imm2 (44)
ΔH_f (0 K) in meV per atom: 347

a b c (Å): 5.6038 5.6038 5.6038
angles (deg): 144.37 145.39 50.52
Sites, in units of the cell vectors:
Be 0.9297 0.9297 0.0000
Be 0.7850 0.2850 0.5000
As 0.2625 0.7625 0.5000
Ag 0.5228 0.5228 0.0000

Record 2
Density functional theory data (GGA-PBE) for a relaxed Sc2MnPb crystal.

DFT total energy in eV per formula unit: -24.49
Space group: R-3m (166)
ΔH_f (0 K) in meV per atom: 262

a b c (Å): 9.9236 9.9236 9.9236
angles (deg): 19.06 19.06 19.06
Sites, in units of the cell vectors:
Pb 0.0000 0.0000 0.0000
Sc 0.8938 0.8938 0.8938
Sc 0.1062 0.1062 0.1062
Mn 0.5000 0.5000 0.5000

Record 3
Density functional theory data (GGA-PBE) for a relaxed GaTe2C crystal.

DFT total energy in eV per formula unit: -14.73
ΔE to the lowest computed polymorph in meV/atom: 13
Space group: R-3m (166)

a b c (Å): 7.5702 7.5702 7.5702
angles (deg): 35.38 35.38 35.38
Sites, in units of the cell vectors:
C 0.0000 0.0000 0.0000
Te 0.0914 0.0914 0.0914
Te 0.9086 0.9086 0.9086
Ga 0.5000 0.5000 0.5000

Record 4
Density functional theory data (GGA-PBE) for a relaxed Pm3Tm12Pu crystal.

DFT total energy in eV per formula unit: -81.51
Space group: P4/mmm (123)
ΔH_f (0 K) in meV per atom: 46

a b c (Å): 4.9703 4.9703 19.8225
angles (deg): 90.00 90.00 90.00
Sites, in units of the cell vectors:
Pm 0.0000 0.0000 0.2473
Pm 0.0000 0.0000 0.5000
Pm 0.0000 0.0000 0.7527
Tm 0.5000 0.5000 0.0000
Tm 0.5000 0.5000 0.2478
Tm 0.5000 0.5000 0.5000
Tm 0.5000 0.5000 0.7522
Tm 0.5000 0.0000 0.1204
Tm 0.5000 0.0000 0.3736
Tm 0.5000 0.0000 0.6264
Tm 0.5000 0.0000 0.8796
Tm 0.0000 0.5000 0.1204
Tm 0.0000 0.5000 0.3736
Tm 0.0000 0.5000 0.6264
Tm 0.0000 0.5000 0.8796
Pu 0.0000 0.0000 0.0000

Record 5
Density functional theory data (GGA-PBE) for a relaxed ScCd2Hg crystal.

DFT total energy in eV per formula unit: -9.04
Space group: P2/m (10)
ΔH_f (0 K) in meV per atom: -143

a b c (Å): 4.8688 3.1818 5.8892
angles (deg): 80.50 90.00 90.00
Sites, in units of the cell vectors:
Sc 0.5000 0.7500 0.7500
Hg 0.5000 0.2500 0.2500
Cd 0.0000 0.1457 0.9955
Cd 0.0000 0.3543 0.5045

Record 6
Density functional theory data (GGA-PBE) for a relaxed Ba2NaAu crystal.

DFT total energy in eV per formula unit: -9.95
ΔE to the lowest computed polymorph in meV/atom: 0
Space group: P4/mmm (123)
ΔH_f (0 K) in meV per atom: -376

a b c (Å): 4.1072 4.1072 9.7275
angles (deg): 90.00 90.00 90.00
Sites, in units of the cell vectors:
Na 0.5000 0.5000 0.5000
Au 0.5000 0.5000 0.0000
Ba 0.0000 0.0000 0.8057
Ba 0.0000 0.0000 0.1943

Record 7
Density functional theory data (GGA-PBE) for a relaxed NaIrPd2Ru crystal.

DFT total energy in eV per formula unit: -20.95
Space group: P4/mmm (123)
ΔH_f (0 K) in meV per atom: 1779

a b c (Å): 4.4064 4.6836 4.4064
angles (deg): 90.00 90.00 90.00
Sites, in units of the cell vectors:
Ru 0.5000 0.5000 0.5000
Ir 0.0000 0.5000 0.0000
Pd 0.0000 0.0000 0.5000
Pd 0.5000 0.0000 0.0000
Na 0.0000 0.0000 0.0000

Record 8
Density functional theory data (GGA-PBE) for a relaxed FeReRu crystal.

DFT total energy in eV per formula unit: -28.42
ΔE to the lowest computed polymorph in meV/atom: 520
Space group: F-43m (216)
ΔH_f (0 K) in meV per atom: 590

a b c (Å): 4.0533 4.0533 4.0533
angles (deg): 60.00 60.00 60.00
Sites, in units of the cell vectors:
Fe 0.5000 0.5000 0.5000
Re 0.7500 0.7500 0.7500
Ru 0.0000 0.0000 0.0000

Record 9
Density functional theory data (GGA-PBE) for a relaxed TiBe crystal.

DFT total energy in eV per formula unit: -8.26
ΔE to the lowest computed polymorph in meV/atom: 1829
Space group: Pm-3n (223)
ΔH_f (0 K) in meV per atom: 1683

a b c (Å): 6.5417 6.5417 6.5417
angles (deg): 90.00 90.00 90.00
Sites, in units of the cell vectors:
Ti 0.2500 0.5000 0.0000
Ti 0.7500 0.5000 0.0000
Ti 0.5000 0.0000 0.2500
Ti 0.5000 0.0000 0.7500
Ti 0.0000 0.2500 0.5000
Ti 0.0000 0.7500 0.5000
Be 0.2500 0.0000 0.5000
Be 0.7500 0.0000 0.5000
Be 0.0000 0.5000 0.2500
Be 0.0000 0.5000 0.7500
Be 0.5000 0.2500 0.0000
Be 0.5000 0.7500 0.0000

Record 10
Density functional theory data (GGA-PBE) for a relaxed Mg2MnCl crystal.

DFT total energy in eV per formula unit: -14.49
ΔE to the lowest computed polymorph in meV/atom: 234
Space group: Imm2 (44)

a b c (Å): 5.8588 5.8588 5.8588
angles (deg): 149.07 127.65 62.06
Sites, in units of the cell vectors:
Cl 0.7186 0.2186 0.5000
Mg 0.9872 0.9872 0.0000
Mg 0.2768 0.7768 0.5000
Mn 0.5174 0.5174 0.0000

Record 11
Density functional theory data (GGA-PBE) for a relaxed CaGaNi2H crystal.

DFT total energy in eV per formula unit: -21.91
Space group: Cmcm (63)

a b c (Å): 3.7612 5.5491 6.9756
angles (deg): 90.00 90.00 109.81
Sites, in units of the cell vectors:
Ca 0.4475 0.8951 0.7500
Ca 0.5525 0.1049 0.2500
Ga 0.7252 0.4504 0.7500
Ga 0.2748 0.5496 0.2500
Ni 0.1609 0.3218 0.9441
Ni 0.8391 0.6782 0.0559
Ni 0.1609 0.3218 0.5559
Ni 0.8391 0.6782 0.4441
H 0.0000 0.0000 0.0000
H 0.0000 0.0000 0.5000

Record 12
Density functional theory data (GGA-PBE) for a relaxed HfScTcRh crystal.

DFT total energy in eV per formula unit: -36.79
Space group: P4mm (99)
ΔH_f (0 K) in meV per atom: -696

a b c (Å): 3.2502 3.2502 6.5087
angles (deg): 90.00 90.00 90.00
Sites, in units of the cell vectors:
Hf 0.5000 0.5000 0.1137
Sc 0.5000 0.5000 0.6026
Tc 0.0000 0.0000 0.3514
Rh 0.0000 0.0000 0.8603

Record 13
Density functional theory data (GGA-PBE) for a relaxed AcNd3Ga4 crystal.

DFT total energy in eV per formula unit: -33.69
Space group: Immm (71)
ΔH_f (0 K) in meV per atom: -396

a b c (Å): 3.7450 7.0971 9.5424
angles (deg): 111.82 101.32 90.00
Sites, in units of the cell vectors:
Ac 0.5000 0.0000 0.0000
Nd 0.0000 0.5000 0.0000
Nd 0.1996 0.1994 0.3991
Nd 0.8004 0.8006 0.6009
Ga 0.3658 0.5482 0.7316
Ga 0.6342 0.4518 0.2684
Ga 0.6342 0.8169 0.2683
Ga 0.3658 0.1831 0.7317